# 1
VSbP2Cl after structural relaxation. Source: the Alexandria database, functional GGA-PBE.

Unit cell a=5.0561 b=5.0561 c=5.0001 alpha=90.00 beta=90.00 gamma=90.00
Sites, in units of the cell vectors:
1 P 0.0000 0.5000 0.0000
2 V 0.5000 0.5000 0.5000
3 Sb 0.0000 0.0000 0.0000
4 P 0.5000 0.0000 0.0000
5 Cl 0.0000 0.0000 0.5000

Properties
- polymorph energy (0 for the lowest one) (eV per atom) = 1.032
- volume (Å³ per atom) = 25.56
- symmetry = P4/mmm, No. 123


# 2
YSbPCl2 after structural relaxation. Source: the Alexandria database, functional GGA-PBE.

Unit cell a=5.0744 b=5.0744 c=5.8608 alpha=90.00 beta=90.00 gamma=90.00
Sites, in units of the cell vectors:
1 P 0.0000 0.0000 0.5000
2 Cl 0.5000 0.0000 0.0000
3 Cl 0.0000 0.5000 0.0000
4 Y 0.0000 0.0000 0.0000
5 Sb 0.5000 0.5000 0.5000

Properties
- polymorph energy (0 for the lowest one) (eV per atom) = 0.000
- volume (Å³ per atom) = 30.18
- symmetry = P4/mmm, No. 123


# 3
YSbPCl2 after structural relaxation. Source: the Alexandria database, functional GGA-PBE.

Unit cell a=5.1355 b=5.1355 c=5.3935 alpha=90.00 beta=90.00 gamma=90.00
Sites, in units of the cell vectors:
1 Y 0.5000 0.5000 0.5000
2 Sb 0.0000 0.0000 0.0000
3 Cl 0.0000 0.5000 0.0000
4 P 0.0000 0.0000 0.5000
5 Cl 0.5000 0.0000 0.0000

Properties
- polymorph energy (0 for the lowest one) (eV per atom) = 0.558
- volume (Å³ per atom) = 28.45
- symmetry = P4/mmm, No. 123


# 4
ZnSbP2Cl after structural relaxation. Source: the Alexandria database, functional GGA-PBE.

Unit cell a=4.7428 b=4.7428 c=4.7048 alpha=90.00 beta=90.00 gamma=90.00
Sites, in units of the cell vectors:
1 P 0.5000 0.0000 0.0000
2 Cl 0.0000 0.0000 0.5000
3 Sb 0.5000 0.5000 0.5000
4 P 0.0000 0.5000 0.0000
5 Zn 0.0000 0.0000 0.0000

Properties
- polymorph energy (0 for the lowest one) (eV per atom) = 0.000
- volume (Å³ per atom) = 21.17
- symmetry = P4/mmm, No. 123


# 5
ZrSb2PCl after structural relaxation. Source: the Alexandria database, functional GGA-PBE.

Unit cell a=5.1663 b=4.5755 c=5.1663 alpha=90.00 beta=90.00 gamma=90.00
Sites, in units of the cell vectors:
1 Zr 0.5000 0.5000 0.5000
2 Cl 0.0000 0.0000 0.0000
3 Sb 0.5000 0.0000 0.0000
4 P 0.0000 0.5000 0.0000
5 Sb 0.0000 0.0000 0.5000

Properties
- uncorrected energy (eV/cell) = -20.45
- volume (Å³ per atom) = 24.42
- symmetry = P4/mmm, No. 123


# 6
ZrSbPCl2 after structural relaxation. Source: the Alexandria database, functional GGA-PBE.

Unit cell a=4.9112 b=4.9112 c=5.4115 alpha=90.00 beta=90.00 gamma=90.00
Sites, in units of the cell vectors:
1 Cl 0.5000 0.0000 0.0000
2 P 0.0000 0.0000 0.5000
3 Zr 0.0000 0.0000 0.0000
4 Sb 0.5000 0.5000 0.5000
5 Cl 0.0000 0.5000 0.0000

Properties
- polymorph energy (0 for the lowest one) (eV per atom) = 0.000
- volume (Å³ per atom) = 26.10
- symmetry = P4/mmm, No. 123


# 7
ZrSbPCl2 after structural relaxation. Source: the Alexandria database, functional GGA-PBE.

Unit cell a=5.1127 b=5.1127 c=5.3077 alpha=90.00 beta=90.00 gamma=90.00
Sites, in units of the cell vectors:
1 P 0.0000 0.0000 0.5000
2 Zr 0.5000 0.5000 0.5000
3 Cl 0.5000 0.0000 0.0000
4 Cl 0.0000 0.5000 0.0000
5 Sb 0.0000 0.0000 0.0000

Properties
- polymorph energy (0 for the lowest one) (eV per atom) = 0.847
- volume (Å³ per atom) = 27.75
- symmetry = P4/mmm, No. 123


# 8
ScPCl2 after structural relaxation. Source: the Alexandria database, functional GGA-PBE.

Unit cell a=3.1961 b=5.3203 c=4.3616 alpha=90.00 beta=90.00 gamma=90.00
Sites, in units of the cell vectors:
1 P 0.5000 0.0000 0.5000
2 Sc 0.0000 0.5000 0.5000
3 Cl 0.5000 0.5000 0.0000
4 Cl 0.0000 0.0000 0.0000

Properties
- polymorph energy (0 for the lowest one) (eV per atom) = 0.584
- volume (Å³ per atom) = 18.54
- symmetry = Pmmm, No. 47